Model 1:
VASP calculation (PBE) on CoSb2Au after structural relaxation.

- space-group type = C2/m, No. 12
- M_tot (μB per formula unit) = 0.00

```
CoSb2Au
1.0
-1.209 0.748 3.301
-0.465 -2.670 2.361
6.274 0.216 4.180
Au Co Sb
1 1 2
Cartesian
3.450 -1.279 7.382
1.150 -0.426 2.461
-1.402 -1.885 5.743
2.029 -0.890 4.841
```

Model 2:
VASP calculation (PBE) on CoSb2Au after structural relaxation.

- space-group type = Fm-3m, No. 225
- M_tot (μB per formula unit) = 0.00

```
CoSb2Au
1.0
0.000 3.403 3.403
3.403 0.000 3.403
3.403 3.403 0.000
Sb Au Co
2 1 1
Cartesian
1.701 1.701 1.701
5.104 5.104 5.104
3.403 3.403 3.403
0.000 0.000 0.000
```

Model 3:
VASP calculation (PBE) on CoSb2Au after structural relaxation.

- space-group type = Cm, No. 8
- M_tot (μB per formula unit) = 0.00

```
CoSb2Au
1.0
-1.927 3.118 -3.408
-2.219 -0.154 -4.484
-6.185 0.513 0.114
Au Co Sb
1 1 2
Cartesian
-4.619 1.834 -4.328
-3.514 0.982 -2.035
-4.120 2.691 -7.069
-7.390 2.672 -6.126
```

Model 4:
VASP calculation (PBE) on CoSb2Au after structural relaxation.

- space-group type = I4/mmm, No. 139
- M_tot (μB per formula unit) = 0.96

```
CoSb2Au
1.0
5.020 0.034 0.000
0.864 4.945 0.000
-2.942 -2.489 3.217
Au Co Sb
1 1 2
Cartesian
0.432 2.472 1.608
2.510 0.017 1.608
0.000 0.000 0.000
2.942 2.489 0.000
```

Q: Which of them is the most stable? A: model 1.

Model 1:
VASP calculation (PBE) on CoSb2Au after structural relaxation.

- space-group type = I-4m2, No. 119
- M_tot (μB per formula unit) = 1.22

```
CoSb2Au
1.0
5.667 0.043 0.000
2.709 4.978 0.000
-4.188 -2.510 2.877
Au Co Sb
1 1 2
Cartesian
4.188 2.510 0.000
2.834 0.021 1.438
0.000 0.000 0.000
1.355 2.489 1.438
```

Model 2:
VASP calculation (PBE) on CoSb2Au after structural relaxation.

- space-group type = P4/mmm, No. 123
- M_tot (μB per formula unit) = 0.00

```
CoSb2Au
1.0
3.138 0.020 0.000
-0.021 3.138 0.000
0.000 0.000 8.013
Au Co Sb
1 1 2
Cartesian
1.558 1.579 2.003
1.558 1.579 6.010
0.000 0.000 7.634
0.000 0.000 4.385
```

Q: Which of them is the most stable? A: model 2.

Model 1:
VASP calculation (PBE) on CoSb2Au after structural relaxation.

- space-group type = Pm, No. 6
- M_tot (μB per formula unit) = 0.00

```
CoSb2Au
1.0
-1.284 -3.111 1.697
2.472 -2.367 -2.470
5.370 -1.247 1.776
Au Co Sb
1 1 2
Cartesian
4.080 -2.103 -0.770
5.287 -4.089 0.689
7.270 -3.431 -0.789
1.684 -2.524 0.833
```

Model 2:
VASP calculation (PBE) on CoSb2Au after structural relaxation.

- space-group type = C2/m, No. 12
- M_tot (μB per formula unit) = 1.08

```
CoSb2Au
1.0
-1.764 2.705 6.493
-3.093 -1.906 -3.132
-1.176 -2.156 2.505
Au Co Sb
1 1 2
Cartesian
-2.135 -2.031 -0.314
-2.428 0.400 1.680
0.000 0.000 0.000
-1.470 0.274 4.499
```

Q: Which of them is the most stable? A: model 1.

Model 1:
VASP calculation (PBE) on CoAu3Se after structural relaxation.

- space-group type = Pm-3m, No. 221
- M_tot (μB per formula unit) = 1.97

```
CoAu3Se
1.0
-1.197 -4.593 -0.518
4.397 -1.297 1.336
-1.425 -0.142 4.555
Co Au Se
1 3 1
Cartesian
0.000 0.000 0.000
2.198 -0.648 0.668
-0.713 -0.071 2.277
-0.599 -2.297 -0.259
0.887 -3.016 2.686
```

Model 2:
VASP calculation (PBE) on CoAu3Se after structural relaxation.

- space-group type = Pm-3m, No. 221
- M_tot (μB per formula unit) = 2.36

```
CoAu3Se
1.0
4.975 0.000 0.000
0.000 4.975 0.000
0.000 0.000 4.975
Co Au Se
1 3 1
Cartesian
2.487 2.487 2.487
0.000 2.487 0.000
0.000 0.000 2.487
2.487 0.000 0.000
0.000 0.000 0.000
```

Q: Which of them is the most stable? A: model 1.

Model 1:
VASP calculation (PBE) on Co3AuSe after structural relaxation.

- space-group type = Pm-3m, No. 221
- M_tot (μB per formula unit) = 6.09

```
Co3AuSe
1.0
4.719 0.000 0.000
0.000 4.719 0.000
0.000 0.000 4.719
Co Au Se
3 1 1
Cartesian
0.000 2.360 0.000
0.000 0.000 2.360
2.360 0.000 0.000
0.000 0.000 0.000
2.360 2.360 2.360
```

Model 2:
VASP calculation (PBE) on Co3AuSe after structural relaxation.

- space-group type = Pm-3m, No. 221
- M_tot (μB per formula unit) = 3.93

```
Co3AuSe
1.0
4.327 0.000 0.000
0.000 4.327 0.000
0.000 0.000 4.327
Co Au Se
3 1 1
Cartesian
0.000 2.163 0.000
0.000 0.000 2.163
2.163 0.000 0.000
2.163 2.163 2.163
0.000 0.000 0.000
```

Q: Which of them is the most stable? A: model 2.

Model 1:
VASP calculation (PBE) on CoAuSe4 after structural relaxation.

- space-group type = P2/m, No. 10
- M_tot (μB per formula unit) = 0.00

```
CoAuSe4
1.0
-3.192 0.661 1.739
-2.287 -2.897 -3.097
1.236 -5.551 4.380
Co Au Se
1 1 4
Cartesian
0.000 0.000 0.000
-0.978 -2.445 3.060
-1.143 -5.501 3.918
-3.100 -2.285 -0.896
-0.100 -2.277 0.682
-0.951 -6.170 0.601
```

Model 2:
VASP calculation (PBE) on CoAuSe4 after structural relaxation.

- space-group type = F-43m, No. 216
- M_tot (μB per formula unit) = 2.49

```
CoAuSe4
1.0
-3.358 -4.334 1.331
-5.181 0.961 2.018
-4.521 -1.145 -3.175
Co Au Se
1 1 4
Cartesian
0.000 0.000 0.000
-9.795 -3.388 0.131
-6.577 -3.865 0.732
-7.160 -2.267 -1.525
-7.490 -1.212 1.076
-4.894 -1.693 0.065
```

Q: Which of them is the most stable? A: model 1.